This record from Alexandria via LeMat-Bulk describes a geometry-optimized Li5Co3Sn2O10 structure. The functional is PBE with a Hubbard U.

```
data_Li5Co3Sn2O10
_cell_length_a 5.3228
_cell_length_b 5.1928
_cell_length_c 8.0584
_cell_angle_alpha 108.97
_cell_angle_beta 102.27
_cell_angle_gamma 98.93
_symmetry_space_group_name_H-M 'P 1'
_symmetry_Int_Tables_number 1
_symmetry_space_group_name_Hall 'P 1'
loop_
_atom_site_label
_atom_site_fract_x
_atom_site_fract_y
_atom_site_fract_z
Li1 0.5000 0.5000 0.5000
Li2 0.2357 0.9193 0.4085
Li3 0.5866 0.7001 0.2006
Li4 0.4134 0.2999 0.7994
Li5 0.7643 0.0807 0.5915
Co1 0.6983 0.9012 0.8964
Co2 0.3017 0.0988 0.1036
Co3 0.0000 0.5000 0.0000
O1 0.1470 0.3122 0.5420
O2 0.7875 0.5103 0.7737
O3 0.3338 0.6965 0.9438
O4 0.4472 0.8953 0.6590
O5 0.2125 0.4897 0.2263
O6 0.6662 0.3035 0.0562
O7 0.9510 0.9021 0.1446
O8 0.0490 0.0979 0.8554
O9 0.5528 0.1047 0.3410
O10 0.8530 0.6878 0.4580
Sn1 0.1082 0.7097 0.6993
Sn2 0.8918 0.2903 0.3007
```

Symmetry = No. 2
Uncorrected energy = -5.698 eV per atom
Excess energy over the best structure of this formula in the dataset = 0 meV per atom
Crystal system = triclinic
Size of the total moment = 10.08 μB/cell